# 1
Density functional theory data (PBE-GGA) for DyZnSn after structural relaxation.

Unit cell a=4.9209 b=4.9209 c=4.9209 alpha=60.00 beta=60.00 gamma=60.00
Sites, in units of the cell vectors:
Dy 0.0000 0.0000 0.0000
Sn 0.2500 0.2500 0.2500
Zn 0.7500 0.7500 0.7500

Output
Final energy: -3.3783 eV/atom
Density: 6.831 Mg/m³

***

# 2
Density functional theory data (PBE-GGA) for NbTlSeO after structural relaxation.

Unit cell a=4.9310 b=5.8218 c=11.7229 alpha=90.00 beta=86.54 gamma=90.00
Sites, in units of the cell vectors:
Nb 0.4247 0.2645 0.0758
Nb 0.9246 0.7647 0.0758
Nb 0.0754 0.2647 0.9242
Nb 0.5753 0.7645 0.9242
O 0.7501 0.0570 0.0000
O 0.7501 0.4734 0.0000
O 0.2499 0.5570 0.0000
O 0.2499 0.9734 0.0000
Se 0.0550 0.1152 0.2359
Se 0.5551 0.6152 0.2361
Se 0.4449 0.1152 0.7639
Se 0.9450 0.6152 0.7641
Tl 0.5125 0.0551 0.3892
Tl 0.0124 0.5549 0.3895
Tl 0.9876 0.0549 0.6105
Tl 0.4875 0.5551 0.6108

Output
ΔE to the lowest computed polymorph: 0.00 eV per formula unit
Density: 7.756 Mg/m³

***

# 3
Density functional theory data (PBE-GGA) for DyHfTlC after structural relaxation.

Unit cell a=3.4586 b=3.4586 c=15.6656 alpha=90.00 beta=90.00 gamma=120.00
Sites, in units of the cell vectors:
C 0.0000 0.0000 0.0000
C 0.0000 0.0000 0.5000
Dy 0.3333 0.6667 0.4120
Dy 0.6667 0.3333 0.5880
Hf 0.3333 0.6667 0.0757
Hf 0.6667 0.3333 0.9243
Tl 0.6667 0.3333 0.2376
Tl 0.3333 0.6667 0.7624

Output
ΔE to the lowest computed polymorph: 0.15 eV per formula unit
Density: 11.406 Mg/m³

***

# 4
Density functional theory data (PBE-GGA) for LuZnNiPd after structural relaxation.

Unit cell a=4.5324 b=4.5324 c=4.5324 alpha=60.00 beta=60.00 gamma=60.00
Sites, in units of the cell vectors:
Lu 0.2500 0.2500 0.2500
Ni 0.7500 0.7500 0.7500
Pd 0.5000 0.5000 0.5000
Zn 0.0000 0.0000 0.0000

Output
ΔE to the lowest computed polymorph: 0.73 eV per formula unit
Density: 10.227 Mg/m³

***

# 5
Density functional theory data (PBE-GGA) for YInCoNi after structural relaxation.

Unit cell a=4.6350 b=4.6350 c=4.6350 alpha=60.00 beta=60.00 gamma=60.00
Sites, in units of the cell vectors:
Co 0.7500 0.7500 0.7500
In 0.0000 0.0000 0.0000
Ni 0.5000 0.5000 0.5000
Y 0.2500 0.2500 0.2500

Output
ΔE to the lowest computed polymorph: 1.27 eV per formula unit
Density: 7.579 Mg/m³

***

# 6
Density functional theory data (PBE-GGA) for LiZnCoSb after structural relaxation.

Unit cell a=4.3160 b=4.3160 c=4.3160 alpha=60.00 beta=60.00 gamma=60.00
Sites, in units of the cell vectors:
Co 0.5000 0.5000 0.5000
Li 0.0000 0.0000 0.0000
Sb 0.2500 0.2500 0.2500
Zn 0.7500 0.7500 0.7500

Output
ΔE to the lowest computed polymorph: 0.00 eV per formula unit
Density: 7.391 Mg/m³

***

# 7
Density functional theory data (PBE-GGA) for K4OsN4 after structural relaxation.

Unit cell a=5.7391 b=5.7391 c=6.2924 alpha=102.69 beta=102.69 gamma=68.67
Sites, in units of the cell vectors:
K 0.3755 0.3755 0.1519
K 0.8129 0.8129 0.3999
K 0.1871 0.1871 0.6001
K 0.6245 0.6245 0.8481
N 0.8986 0.3049 0.1922
N 0.3049 0.8986 0.1922
N 0.6951 0.1014 0.8078
N 0.1014 0.6951 0.8078
Os 0.0000 0.0000 0.0000

Output
Final energy: -5.1093 eV/atom
Density: 3.593 Mg/m³

***

# 8
Density functional theory data (PBE-GGA) for Nd3Dy2ErCoS2 after structural relaxation.

Unit cell a=3.8382 b=8.0183 c=8.0183 alpha=119.92 beta=90.00 gamma=90.00
Sites, in units of the cell vectors:
Co 0.0000 0.9970 0.9970
Dy 0.5000 0.2415 0.0002
Dy 0.5000 0.0002 0.2415
Er 0.5000 0.7593 0.7593
Nd 0.0000 0.5813 0.0000
Nd 0.0000 0.4195 0.4195
Nd 0.0000 0.0000 0.5813
S 0.5000 0.6668 0.3343
S 0.5000 0.3343 0.6668

Output
Final energy: -5.6243 eV/atom
Density: 8.137 Mg/m³

***

Repeat the fifth record exactly.
Density functional theory data (PBE-GGA) for YInCoNi after structural relaxation.

Unit cell a=4.6350 b=4.6350 c=4.6350 alpha=60.00 beta=60.00 gamma=60.00
Sites, in units of the cell vectors:
Co 0.7500 0.7500 0.7500
In 0.0000 0.0000 0.0000
Ni 0.5000 0.5000 0.5000
Y 0.2500 0.2500 0.2500

Output
ΔE to the lowest computed polymorph: 1.27 eV per formula unit
Density: 7.579 Mg/m³

***

Copy entry 7 word for word.
Density functional theory data (PBE-GGA) for K4OsN4 after structural relaxation.

Unit cell a=5.7391 b=5.7391 c=6.2924 alpha=102.69 beta=102.69 gamma=68.67
Sites, in units of the cell vectors:
K 0.3755 0.3755 0.1519
K 0.8129 0.8129 0.3999
K 0.1871 0.1871 0.6001
K 0.6245 0.6245 0.8481
N 0.8986 0.3049 0.1922
N 0.3049 0.8986 0.1922
N 0.6951 0.1014 0.8078
N 0.1014 0.6951 0.8078
Os 0.0000 0.0000 0.0000

Output
Final energy: -5.1093 eV/atom
Density: 3.593 Mg/m³

***

Which of these has the highest density?
DyHfTlC